[1]
! LiCaPmCu (GGA-PBE, relaxed); values from VASP
! Electronic total energy = -12.764 eV/cell
! Energy of formation = 0.000 eV per atom
! Mass density = 4.4 g/cm³
! D(E_F) = 0.692 states/eV/atom
&SYSTEM
  ibrav = 0, nat = 4, ntyp = 4
/
ATOMIC_SPECIES
Li 6.94 Li.upf
Ca 40.08 Ca.upf
Pm 145.00 Pm.upf
Cu 63.55 Cu.upf
CELL_PARAMETERS angstrom
0.000 3.651 3.651
3.651 0.000 3.651
3.651 3.651 0.000
ATOMIC_POSITIONS crystal
Li 0.000 0.000 0.000
Ca 0.750 0.750 0.750
Pm 0.250 0.250 0.250
Cu 0.500 0.500 0.500

[2]
! NaV4S8 (GGA-PBE, relaxed); values from VASP
! Electronic total energy = -82.153 eV/cell
! Mass density = 3.5 g/cm³
! Energy relative to the elements, uncorrected = -0.872 eV per atom
! D(E_F) = 0.695 states/eV/atom
&SYSTEM
  ibrav = 0, nat = 13, ntyp = 3
/
ATOMIC_SPECIES
Na 22.99 Na.upf
V 50.94 V.upf
S 32.06 S.upf
CELL_PARAMETERS angstrom
8.371 -1.608 0.000
8.371 1.608 0.000
-8.350 0.000 8.400
ATOMIC_POSITIONS crystal
Na 0.000 0.000 0.000
V 0.163 0.163 0.486
V 0.322 0.322 0.158
V 0.678 0.678 0.842
V 0.837 0.837 0.514
S 0.039 0.039 0.704
S 0.323 0.323 0.961
S 0.337 0.337 0.377
S 0.361 0.361 0.684
S 0.639 0.639 0.316
S 0.663 0.663 0.623
S 0.677 0.677 0.039
S 0.961 0.961 0.296